Ba6Pd2O: relaxed, PBE.

Cell lengths 6.594, 12.060, 12.060 Å; angles 107.49, 104.96, 104.96 degrees
Sites, in units of the cell vectors:
Pd: 0.105 0.722 0.541
Ba: 0.600 0.696 0.544
Ba: 0.411 0.642 0.134
O: 0.250 0.173 0.827
Ba: 0.911 0.134 0.642
Ba: 0.900 0.456 0.304
Ba: 0.400 0.304 0.456
Ba: 0.100 0.544 0.696
Ba: 0.589 0.358 0.866
O: 0.750 0.827 0.173
Ba: 0.849 0.788 0.975
Pd: 0.895 0.278 0.459
Pd: 0.605 0.541 0.722
Ba: 0.651 0.025 0.212
Ba: 0.089 0.866 0.358
Pd: 0.395 0.459 0.278
Ba: 0.151 0.212 0.025
Ba: 0.349 0.975 0.788

Computed properties:
Spin magnetization (μB per formula unit): 0.00
ΔE_f (raw) (eV per formula unit): -7.13
VASP energy (eV/atom): -3.779
Crystal system: monoclinic